Here is crystalline TaPtS2 at its relaxed geometry from the Alexandria database. Energies are from GGA-PBE.

Its energy relative to the elements, uncorrected is 0.137 eV/atom.

Lattice parameters (Å, degrees): 7.890 7.890 7.890 24.56 24.56 24.56
Sites, in units of the cell vectors:
Ta: 0.000 0.000 0.000
Pt: 0.500 0.500 0.500
S: 0.104 0.104 0.104
S: 0.896 0.896 0.896

***

Here is crystalline TaPtS2 at its relaxed geometry from the Alexandria database. Energies are from GGA-PBE.

Its energy relative to the elements, uncorrected is -0.648 eV/atom.

Lattice parameters (Å, degrees): 8.047 8.047 8.047 23.05 23.05 23.05
Sites, in units of the cell vectors:
Ta: 0.000 0.000 0.000
Pt: 0.500 0.500 0.500
S: 0.402 0.402 0.402
S: 0.598 0.598 0.598

***

Here is crystalline TaPt2S at its relaxed geometry from the Alexandria database. Energies are from GGA-PBE.

Its energy relative to the elements, uncorrected is 0.059 eV/atom.

Lattice parameters (Å, degrees): 6.389 6.389 6.389 123.39 123.39 84.22
Sites, in units of the cell vectors:
Ta: 0.000 0.000 0.000
Ta: 0.750 0.250 0.500
Pt: 0.139 0.625 0.014
Pt: 0.375 0.389 0.514
Pt: 0.611 0.125 0.986
Pt: 0.875 0.861 0.486
S: 0.250 0.750 0.500
S: 0.500 0.500 0.000

***

Here is crystalline TaPtS2 at its relaxed geometry from the Alexandria database. Energies are from GGA-PBE.

Its energy relative to the elements, uncorrected is -0.243 eV/atom.

Lattice parameters (Å, degrees): 6.543 6.543 6.543 129.44 129.44 74.30
Sites, in units of the cell vectors:
Ta: 0.000 0.000 0.000
Ta: 0.750 0.250 0.500
Pt: 0.250 0.750 0.500
Pt: 0.500 0.500 0.000
S: 0.123 0.625 0.998
S: 0.375 0.373 0.498
S: 0.627 0.125 0.002
S: 0.875 0.877 0.502